1.
VASP calculation (PBE-GGA) on a relaxed structure of CeMnRuRh.

Energy (eV per atom): -8.177
ΔE_f (meV/atom): -245
Space-group type: F-43m, No. 216

a = 4.6125 Å, b = 4.6125 Å, c = 4.6125 Å
α = 60.00°, β = 60.00°, γ = 60.00°
Fractional positions:
Ce 0.0000 0.0000 0.0000
Mn 0.5000 0.5000 0.5000
Ru 0.2500 0.2500 0.2500
Rh 0.7500 0.7500 0.7500

---

2.
VASP calculation (PBE-GGA) on a relaxed structure of Ce2MnSiRh6.

Energy (eV per atom): -7.551
Raw formation energy (kJ/mol of formula units): -477
Space-group type: P-1, No. 2

a = 4.8264 Å, b = 5.6130 Å, c = 7.3530 Å
α = 70.93°, β = 89.20°, γ = 72.07°
Fractional positions:
Ce 0.1662 0.0228 0.2085
Ce 0.8338 0.9772 0.7915
Mn 0.5000 0.5000 0.0000
Si 0.0000 0.5000 0.5000
Rh 0.0139 0.3847 0.8562
Rh 0.3455 0.0762 0.6388
Rh 0.4057 0.5875 0.6411
Rh 0.5943 0.4125 0.3589
Rh 0.6545 0.9238 0.3612
Rh 0.9861 0.6153 0.1438

---

3.
VASP calculation (PBE-GGA) on a relaxed structure of CeMnSi2Rh.

Energy (eV per atom): -7.460
Raw formation energy (kJ/mol of formula units): -386
Space-group type: I-4m2, No. 119

a = 5.8460 Å, b = 5.8460 Å, c = 5.8460 Å
α = 139.61°, β = 139.61°, γ = 58.45°
Fractional positions:
Ce 0.0000 0.0000 0.0000
Mn 0.7500 0.2500 0.5000
Si 0.3801 0.3801 0.0000
Si 0.6199 0.6199 0.0000
Rh 0.2500 0.7500 0.5000

---

4.
VASP calculation (PBE-GGA) on a relaxed structure of Ce2Mn2SnRh5.

Energy (eV per atom): -7.569
ΔE_f (meV/atom): -473
Space-group type: P4/mbm, No. 127

a = 9.4812 Å, b = 9.4812 Å, c = 3.8790 Å
α = 90.00°, β = 90.00°, γ = 90.00°
Fractional positions:
Ce 0.1807 0.3193 0.0000
Ce 0.3193 0.8193 0.0000
Ce 0.6807 0.1807 0.0000
Ce 0.8193 0.6807 0.0000
Mn 0.1177 0.6177 0.0000
Mn 0.3823 0.1177 0.0000
Mn 0.6177 0.8823 0.0000
Mn 0.8823 0.3823 0.0000
Sn 0.0000 0.0000 0.0000
Sn 0.5000 0.5000 0.0000
Rh 0.0000 0.5000 0.5000
Rh 0.0689 0.7890 0.5000
Rh 0.2110 0.0689 0.5000
Rh 0.2890 0.5689 0.5000
Rh 0.4311 0.2890 0.5000
Rh 0.5000 0.0000 0.5000
Rh 0.5689 0.7110 0.5000
Rh 0.7110 0.4311 0.5000
Rh 0.7890 0.9311 0.5000
Rh 0.9311 0.2110 0.5000

---

5.
VASP calculation (PBE-GGA) on a relaxed structure of Ce2Mn2ZnRh5.

Energy (eV per atom): -7.207
ΔE_f (meV/atom): -383
Space-group type: P4/mbm, No. 127

a = 9.3636 Å, b = 9.3636 Å, c = 3.8211 Å
α = 90.00°, β = 90.00°, γ = 90.00°
Fractional positions:
Ce 0.1828 0.3172 0.0000
Ce 0.3172 0.8172 0.0000
Ce 0.6828 0.1828 0.0000
Ce 0.8172 0.6828 0.0000
Mn 0.1194 0.6194 0.0000
Mn 0.3806 0.1194 0.0000
Mn 0.6194 0.8806 0.0000
Mn 0.8806 0.3806 0.0000
Zn 0.0000 0.0000 0.0000
Zn 0.5000 0.5000 0.0000
Rh 0.0000 0.5000 0.5000
Rh 0.0636 0.7961 0.5000
Rh 0.2039 0.0636 0.5000
Rh 0.2961 0.5636 0.5000
Rh 0.4364 0.2961 0.5000
Rh 0.5000 0.0000 0.5000
Rh 0.5636 0.7039 0.5000
Rh 0.7039 0.4364 0.5000
Rh 0.7961 0.9364 0.5000
Rh 0.9364 0.2039 0.5000

---

6.
VASP calculation (PBE-GGA) on a relaxed structure of CeMnRu2.

Energy (eV per atom): -8.425
ΔE_f (meV/atom): -11
Space-group type: P4/mmm, No. 123

a = 2.9697 Å, b = 2.9697 Å, c = 7.3631 Å
α = 90.00°, β = 90.00°, γ = 90.00°
Fractional positions:
Ce 0.0000 0.0000 0.0000
Mn 0.0000 0.0000 0.5000
Ru 0.5000 0.5000 0.3032
Ru 0.5000 0.5000 0.6968

---

7.
VASP calculation (PBE-GGA) on a relaxed structure of CeMnRu2.

Energy (eV per atom): -8.500
ΔE_f (meV/atom): -86
Space-group type: P4/mmm, No. 123

a = 4.4381 Å, b = 4.4381 Å, c = 3.4487 Å
α = 90.00°, β = 90.00°, γ = 90.00°
Fractional positions:
Ce 0.0000 0.0000 0.0000
Mn 0.5000 0.5000 0.0000
Ru 0.0000 0.5000 0.5000
Ru 0.5000 0.0000 0.5000

---

8.
VASP calculation (PBE-GGA) on a relaxed structure of CeMnSi2Ru.

Energy (eV per atom): -7.764
Raw formation energy (kJ/mol of formula units): -347
Space-group type: I-4m2, No. 119

a = 5.8685 Å, b = 5.8685 Å, c = 5.8685 Å
α = 139.72°, β = 139.72°, γ = 58.28°
Fractional positions:
Ce 0.0000 0.0000 0.0000
Mn 0.2500 0.7500 0.5000
Si 0.3784 0.3784 0.0000
Si 0.6216 0.6216 0.0000
Ru 0.7500 0.2500 0.5000

---

9.
VASP calculation (PBE-GGA) on a relaxed structure of Ce2MnSi2Ru5.

Energy (eV per atom): -8.296
Raw formation energy (kJ/mol of formula units): -453
Space-group type: P4/mbm, No. 127

a = 9.9918 Å, b = 9.9918 Å, c = 3.3067 Å
α = 90.00°, β = 90.00°, γ = 90.00°
Fractional positions:
Ce 0.1747 0.3253 0.0000
Ce 0.3253 0.8253 0.0000
Ce 0.6747 0.1747 0.0000
Ce 0.8253 0.6747 0.0000
Mn 0.0000 0.0000 0.0000
Mn 0.5000 0.5000 0.0000
Si 0.1253 0.6253 0.0000
Si 0.3747 0.1253 0.0000
Si 0.6253 0.8747 0.0000
Si 0.8747 0.3747 0.0000
Ru 0.0000 0.5000 0.5000
Ru 0.0682 0.7894 0.5000
Ru 0.2106 0.0682 0.5000
Ru 0.2894 0.5682 0.5000
Ru 0.4318 0.2894 0.5000
Ru 0.5000 0.0000 0.5000
Ru 0.5682 0.7106 0.5000
Ru 0.7106 0.4318 0.5000
Ru 0.7894 0.9318 0.5000
Ru 0.9318 0.2106 0.5000

---

10.
VASP calculation (PBE-GGA) on a relaxed structure of TbCeMnRu.

Energy (eV per atom): -7.292
ΔE_f (meV/atom): -40
Space-group type: F-43m, No. 216

a = 4.9020 Å, b = 4.9020 Å, c = 4.9020 Å
α = 60.00°, β = 60.00°, γ = 60.00°
Fractional positions:
Tb 0.0000 0.0000 0.0000
Ce 0.5000 0.5000 0.5000
Mn 0.2500 0.2500 0.2500
Ru 0.7500 0.7500 0.7500

---

11.
VASP calculation (PBE-GGA) on a relaxed structure of CeTmMnRu.

Energy (eV per atom): -7.310
ΔE_f (meV/atom): -97
Space-group type: F-43m, No. 216

a = 4.8543 Å, b = 4.8543 Å, c = 4.8543 Å
α = 60.00°, β = 60.00°, γ = 60.00°
Fractional positions:
Ce 0.0000 0.0000 0.0000
Tm 0.5000 0.5000 0.5000
Mn 0.7500 0.7500 0.7500
Ru 0.2500 0.2500 0.2500

---

12.
VASP calculation (PBE-GGA) on a relaxed structure of CeYMnRu.

Energy (eV per atom): -7.753
ΔE_f (meV/atom): -42
Space-group type: F-43m, No. 216

a = 4.9007 Å, b = 4.9007 Å, c = 4.9007 Å
α = 60.00°, β = 60.00°, γ = 60.00°
Fractional positions:
Ce 0.0000 0.0000 0.0000
Y 0.5000 0.5000 0.5000
Mn 0.7500 0.7500 0.7500
Ru 0.2500 0.2500 0.2500